Entry from the Open Quantum Materials Database: crystalline CsAgSb at its relaxed geometry (PBE).

Calculated values
- offset from the most stable computed form (meV/atom) = 0

POSCAR file:
```
CsAgSb
1.0
7.664 0.000 0.000
0.000 7.664 0.000
0.000 0.000 7.664
Cs Ag Sb
4 4 4
Cartesian
0.000 0.000 0.000
0.000 3.832 3.832
3.832 0.000 3.832
3.832 3.832 0.000
1.916 1.916 1.916
1.916 5.748 5.748
5.748 1.916 5.748
5.748 5.748 1.916
0.000 0.000 3.832
0.000 3.832 0.000
3.832 0.000 0.000
3.832 3.832 3.832
```